VASP calculation (SCAN) on a crystal of K2TeW3O12 relaxed with PBEsol.

Cell: 7.296 11.540 14.644 Å, 90.00 119.87 90.00°
Fractional positions:
K (0.122, 0.057, 0.372)
K (0.122, 0.443, 0.872)
K (0.169, 0.046, 0.919)
K (0.169, 0.454, 0.419)
K (0.831, 0.546, 0.581)
K (0.831, 0.954, 0.081)
K (0.878, 0.557, 0.128)
K (0.878, 0.943, 0.628)
Te (0.450, 0.514, 0.700)
Te (0.450, 0.986, 0.200)
Te (0.550, 0.014, 0.800)
Te (0.550, 0.486, 0.300)
W (0.163, 0.245, 0.168)
W (0.163, 0.255, 0.668)
W (0.325, 0.745, 0.331)
W (0.325, 0.755, 0.831)
W (0.334, 0.692, 0.084)
W (0.334, 0.808, 0.584)
W (0.666, 0.192, 0.416)
W (0.666, 0.308, 0.916)
W (0.675, 0.245, 0.169)
W (0.675, 0.255, 0.669)
W (0.837, 0.745, 0.332)
W (0.837, 0.755, 0.832)
O (0.036, 0.726, 0.970)
O (0.036, 0.774, 0.470)
O (0.055, 0.687, 0.305)
O (0.055, 0.813, 0.805)
O (0.179, 0.116, 0.726)
O (0.179, 0.384, 0.226)
O (0.194, 0.078, 0.131)
O (0.194, 0.422, 0.631)
O (0.227, 0.616, 0.774)
O (0.227, 0.884, 0.274)
O (0.250, 0.688, 0.185)
O (0.250, 0.812, 0.685)
O (0.302, 0.544, 0.052)
O (0.302, 0.956, 0.552)
O (0.343, 0.626, 0.593)
O (0.343, 0.874, 0.093)
O (0.380, 0.188, 0.315)
O (0.380, 0.312, 0.815)
O (0.401, 0.223, 0.651)
O (0.401, 0.277, 0.151)
O (0.403, 0.726, 0.970)
O (0.403, 0.774, 0.470)
O (0.432, 0.578, 0.369)
O (0.432, 0.922, 0.869)
O (0.568, 0.078, 0.131)
O (0.568, 0.422, 0.631)
O (0.597, 0.226, 0.530)
O (0.597, 0.274, 0.030)
O (0.599, 0.723, 0.849)
O (0.599, 0.777, 0.349)
O (0.620, 0.688, 0.185)
O (0.620, 0.812, 0.685)
O (0.657, 0.126, 0.907)
O (0.657, 0.374, 0.407)
O (0.698, 0.044, 0.448)
O (0.698, 0.456, 0.948)
O (0.750, 0.188, 0.315)
O (0.750, 0.312, 0.815)
O (0.773, 0.116, 0.726)
O (0.773, 0.384, 0.226)
O (0.806, 0.578, 0.369)
O (0.806, 0.922, 0.869)
O (0.821, 0.616, 0.774)
O (0.821, 0.884, 0.274)
O (0.945, 0.187, 0.195)
O (0.945, 0.313, 0.695)
O (0.964, 0.226, 0.530)
O (0.964, 0.274, 0.030)

final energy = -1503.7 eV for the cell shown
DOS at the Fermi energy = 0.000 states/eV/atom